Here is a geometry-optimized InB3I structure from Alexandria. Energies are from PBE.

formation energy without anion corrections	2419	meV per atom
energy relative to the lowest polymorph listed for this composition	316	meV per atom

a = 4.499 Å, b = 4.499 Å, c = 4.499 Å
α = 90.00°, β = 90.00°, γ = 90.00°
Space group Pm-3m (No. 221)
Inequivalent atoms, fractional coordinates:
In (0.000, 0.000, 0.000)
B (0.000, 0.500, 0.500)
I (0.500, 0.500, 0.500)

Here is a geometry-optimized YOs2Br structure from Alexandria. Energies are from PBE.

formation energy without anion corrections	654	meV per atom
energy relative to the lowest polymorph listed for this composition	717	meV per atom

a = 3.204 Å, b = 4.545 Å, c = 5.741 Å
α = 90.00°, β = 90.00°, γ = 90.00°
Space group Pmmm (No. 47)
Inequivalent atoms, fractional coordinates:
Y (0.000, 0.000, 0.000)
Os (0.500, 0.500, 0.199)
Br (0.000, 0.000, 0.500)

Total magnetization
In order: 0.00; 0.00
Unit: μB/cell